# CaEr2In2

CaEr2In2 after structural relaxation (PBE, Alexandria).

Calculated values
The formation enthalpy at 0 K is -0.351 eV/atom. Its energy above the most stable polymorph in this dataset is 0.3 kJ per mole of atoms. Its electronic total energy is -3.67 eV/atom. The space-group type is C2/m (12).

Structure (POSCAR):
```
CaEr2In2
1.0
4.6004 -2.6637 0.0000
4.6004 2.6637 0.0000
-3.0410 0.0000 5.7295
Ca Er In
1 2 2
Direct
0.0000 0.0000 0.0000
0.2184 0.2184 0.6536
0.7816 0.7816 0.3464
0.4123 0.4123 0.2403
0.5877 0.5877 0.7597
```

# Si2HCl

Si2HCl after structural relaxation (PBE, Alexandria).

Calculated values
Its energy above the most stable polymorph in this dataset is 0.0 kJ per mole of atoms. Its electronic total energy is -3.38 eV/atom. The space-group type is I-42d (122).

Structure (POSCAR):
```
Si2HCl
1.0
-2.5407 2.5407 5.0836
2.5407 -2.5407 5.0836
2.5407 2.5407 -5.0836
Si H Cl
4 2 2
Direct
0.3750 0.2143 0.3393
0.7857 0.1250 0.1607
0.8750 0.0357 0.6607
0.9643 0.6250 0.8393
0.0000 0.0000 0.0000
0.7500 0.2500 0.5000
0.2500 0.7500 0.5000
0.5000 0.5000 0.0000
```

# Sn2RuPbSe

Sn2RuPbSe after structural relaxation (PBE, Alexandria).

Calculated values
For the formation energy without anion corrections, the calculation gives 1.460 eV per atom. Its electronic total energy is -3.43 eV/atom. The space-group type is P4/mmm (123).

Structure (POSCAR):
```
Sn2RuPbSe
1.0
5.7404 0.0000 0.0000
0.0000 5.7404 0.0000
0.0000 0.0000 5.3520
Sn Ru Pb Se
2 1 1 1
Direct
0.0000 0.5000 0.0000
0.5000 0.0000 0.0000
0.0000 0.0000 0.5000
0.5000 0.5000 0.0000
0.5000 0.5000 0.5000
```

# TaGePd6

TaGePd6 after structural relaxation (PBE, Alexandria).

Calculated values
The formation enthalpy at 0 K is -0.317 eV/atom. Its electronic total energy is -6.27 eV/atom. The space-group type is P-1 (2).

Structure (POSCAR):
```
TaGePd6
1.0
5.0435 0.0000 0.0000
-0.3636 5.0309 0.0000
-0.3673 -0.3812 5.0299
Ta Ge Pd
1 1 6
Direct
0.0000 0.0000 0.0000
0.5000 0.5000 0.5000
0.0664 0.5365 0.2554
0.2555 0.0662 0.5376
0.4642 0.7445 0.9324
0.5358 0.2555 0.0676
0.7445 0.9338 0.4624
0.9336 0.4635 0.7446
```

# Ho2TmSi6

Ho2TmSi6 after structural relaxation (PBE, Alexandria).

Calculated values
For the formation energy without anion corrections, the calculation gives -0.499 eV per atom. Its electronic total energy is -5.63 eV/atom. The space-group type is P6/mmm (191).

Structure (POSCAR):
```
Ho2TmSi6
1.0
7.0993 0.0000 0.0000
-3.5496 6.1482 0.0000
0.0000 0.0000 3.8701
Ho Tm Si
2 1 6
Direct
0.3333 0.6667 0.0000
0.6667 0.3333 0.0000
0.0000 0.0000 0.0000
0.0000 0.3328 0.5000
0.0000 0.6672 0.5000
0.3328 0.0000 0.5000
0.3328 0.3328 0.5000
0.6672 0.0000 0.5000
0.6672 0.6672 0.5000
```

# TaPdC2

TaPdC2 after structural relaxation (PBE, Alexandria).

Calculated values
The formation enthalpy at 0 K is 0.630 eV/atom. Its energy above the most stable polymorph in this dataset is 0.0 kJ per mole of atoms. Its electronic total energy is -8.24 eV/atom. The space-group type is I-42d (122).

Structure (POSCAR):
```
TaPdC2
1.0
-2.3715 2.3715 4.8963
2.3715 -2.3715 4.8963
2.3715 2.3715 -4.8963
Ta Pd C
2 2 4
Direct
0.0000 0.0000 0.0000
0.7500 0.2500 0.5000
0.2500 0.7500 0.5000
0.5000 0.5000 0.0000
0.1218 0.6250 0.9968
0.3750 0.3718 0.4968
0.6282 0.1250 0.0032
0.8750 0.8782 0.5032
```

# Dy2Tm4Tl

Dy2Tm4Tl after structural relaxation (PBE, Alexandria).

Calculated values
The formation enthalpy at 0 K is 0.011 eV/atom. Its energy above the most stable polymorph in this dataset is 5.5 kJ per mole of atoms. Its electronic total energy is -4.20 eV/atom. The space-group type is P2_1/m (11).

Structure (POSCAR):
```
Dy2Tm4Tl
1.0
5.7734 0.0000 0.0000
0.0000 6.6057 0.0000
-2.6389 0.0000 10.9762
Dy Tm Tl
4 8 2
Direct
0.0623 0.2500 0.4791
0.3303 0.7500 0.0670
0.6697 0.2500 0.9330
0.9377 0.7500 0.5209
0.1642 0.0095 0.7896
0.1642 0.4905 0.7896
0.2211 0.2500 0.0720
0.3702 0.7500 0.3654
0.6298 0.2500 0.6346
0.7789 0.7500 0.9280
0.8358 0.5095 0.2104
0.8358 0.9905 0.2104
0.4887 0.2500 0.3460
0.5113 0.7500 0.6540
```

# Ho3Tm12Cd

Ho3Tm12Cd after structural relaxation (PBE, Alexandria).

Calculated values
The formation enthalpy at 0 K is -0.001 eV/atom. Its electronic total energy is -4.27 eV/atom. The space-group type is P4/mmm (123).

Structure (POSCAR):
```
Ho3Tm12Cd
1.0
4.8960 0.0000 0.0000
0.0000 4.8960 0.0000
0.0000 0.0000 19.7439
Ho Tm Cd
3 12 1
Direct
0.0000 0.0000 0.0000
0.0000 0.0000 0.2517
0.0000 0.0000 0.7483
0.0000 0.5000 0.1266
0.0000 0.5000 0.3782
0.0000 0.5000 0.6218
0.0000 0.5000 0.8734
0.5000 0.0000 0.1266
0.5000 0.0000 0.3782
0.5000 0.0000 0.6218
0.5000 0.0000 0.8734
0.5000 0.5000 0.0000
0.5000 0.5000 0.2554
0.5000 0.5000 0.5000
0.5000 0.5000 0.7446
0.0000 0.0000 0.5000
```

# Hf2GaPt6

Hf2GaPt6 after structural relaxation (PBE, Alexandria).

Calculated values
The formation enthalpy at 0 K is -0.796 eV/atom. Its electronic total energy is -7.37 eV/atom. The space-group type is Immm (71).

Structure (POSCAR):
```
Hf2GaPt6
1.0
-1.9482 3.5816 6.0842
1.9482 -3.5816 6.0842
1.9482 3.5816 -6.0842
Hf Ga Pt
2 1 6
Direct
0.1543 0.1543 0.0000
0.8457 0.8457 0.0000
0.5000 0.5000 0.0000
0.1025 0.3345 0.7679
0.2726 0.0000 0.2726
0.4334 0.6655 0.7679
0.5666 0.3345 0.2321
0.7274 0.0000 0.7274
0.8975 0.6655 0.2321
```

# PRhAu

PRhAu after structural relaxation (PBE, Alexandria).

Calculated values
The formation enthalpy at 0 K is -0.075 eV/atom. Its energy above the most stable polymorph in this dataset is 19.8 kJ per mole of atoms. Its electronic total energy is -5.42 eV/atom. The space-group type is P3m1 (156).

Structure (POSCAR):
```
PRhAu
1.0
2.9880 0.0000 0.0000
-1.4940 2.5877 0.0000
0.0000 0.0000 6.3640
P Rh Au
1 1 1
Direct
0.0000 0.0000 0.0000
0.6667 0.3333 0.2377
0.3333 0.6667 0.6103
```

# LuNbAl

LuNbAl after structural relaxation (PBE, Alexandria).

Calculated values
The formation enthalpy at 0 K is 0.104 eV/atom. Its energy above the most stable polymorph in this dataset is 19.3 kJ per mole of atoms. Its electronic total energy is -6.01 eV/atom. The space-group type is P3m1 (156).

Structure (POSCAR):
```
LuNbAl
1.0
4.8416 0.0000 0.0000
-2.4208 4.1929 0.0000
0.0000 0.0000 2.9269
Lu Nb Al
1 1 1
Direct
0.0000 0.0000 0.0000
0.3333 0.6667 0.0053
0.6667 0.3333 0.4997
```

# Sr2AlZn3

Sr2AlZn3 after structural relaxation (PBE, Alexandria).

Calculated values
The formation enthalpy at 0 K is -0.239 eV/atom. Its energy above the most stable polymorph in this dataset is 0.0 kJ per mole of atoms. Its electronic total energy is -2.06 eV/atom. The space-group type is Cm (8).

Structure (POSCAR):
```
Sr2AlZn3
1.0
5.5416 -2.3519 0.0000
5.5416 2.3519 0.0000
-5.4076 0.0000 5.6653
Sr Al Zn
2 1 3
Direct
0.0000 0.0000 0.0000
0.0971 0.0971 0.6068
0.7127 0.7127 0.4022
0.3786 0.3786 0.5782
0.3909 0.3909 0.2008
0.7176 0.7176 0.0442
```